9
Lattice="-3.524 1.879 3.230 2.912 -3.987 1.414 6.440 5.965 3.557" Properties=species:S:1:pos:R:3 comment="Dy2Hg7 PBE-GGA optimized geometry" e_form_ev_per_atom=-0.258 magmom_total_mub_per_fu=0.00 space_group=P-3m1 pbc="T T T"
Hg 2.165 2.005 1.196
Dy 0.093 1.287 3.437
Hg 2.282 3.314 4.647
Hg 3.546 0.542 3.554
Hg 4.389 5.266 5.811
Hg 1.439 -1.410 2.390
Hg 0.000 0.000 0.000
Dy 5.735 2.569 4.763
Hg 4.275 3.960 2.362